# 1
! Sr2ZnAsO6 PBE relaxed; values from VASP
! **Energy relative to the elements, uncorrected**: -18.66 eV/f.u.
&SYSTEM
  ibrav = 0, nat = 20, ntyp = 4
/
ATOMIC_SPECIES
O 16.00 O.upf
Sr 87.62 Sr.upf
Zn 65.41 Zn.upf
As 74.92 As.upf
CELL_PARAMETERS angstrom
-3.6138 -2.8895 3.0824
-4.0153 -2.9537 -2.4624
3.3243 -9.6441 -0.1291
ATOMIC_POSITIONS crystal
O 0.6046 0.6046 0.6470
O 0.2164 0.2164 0.8730
O 0.3057 0.7836 0.1270
O 0.7836 0.3057 0.1270
O 0.3954 0.3954 0.3530
O 0.3954 0.8562 0.3530
O 0.6943 0.2164 0.8730
O 0.1438 0.6046 0.6470
O 0.8562 0.3954 0.3530
O 0.2164 0.6943 0.8730
O 0.6046 0.1438 0.6470
O 0.7836 0.7836 0.1270
Sr 0.1170 0.1170 0.6489
Sr 0.8830 0.8830 0.3511
Sr 0.7083 0.7083 0.8751
Sr 0.2917 0.2917 0.1249
Zn 0.0000 0.0000 0.0000
Zn 0.5000 0.5000 0.5000
As 0.5904 0.5904 0.2288
As 0.4096 0.4096 0.7712

=====

# 2
! YRuPt2 PBE relaxed; values from VASP
! **E_form**: -1.65 eV per formula unit
&SYSTEM
  ibrav = 0, nat = 4, ntyp = 3
/
ATOMIC_SPECIES
Pt 195.08 Pt.upf
Ru 101.07 Ru.upf
Y 88.91 Y.upf
CELL_PARAMETERS angstrom
4.0325 0.0000 0.0000
0.0000 2.9498 0.0126
0.0000 2.9392 5.8921
ATOMIC_POSITIONS crystal
Pt 0.0000 0.5240 0.4756
Pt 0.0000 0.9760 0.0244
Ru 0.5000 0.2500 0.2500
Y 0.5000 0.7500 0.7500

=====

# 3
! Ni3HgC PBE relaxed; values from VASP
! **E_form**: 13.31 eV per formula unit
! **Offset from the most stable computed form**: 12.70 eV/f.u.
&SYSTEM
  ibrav = 0, nat = 5, ntyp = 3
/
ATOMIC_SPECIES
Ni 58.69 Ni.upf
Hg 200.59 Hg.upf
C 12.01 C.upf
CELL_PARAMETERS angstrom
4.7155 0.0000 0.0000
0.0000 4.7155 0.0000
0.0000 0.0000 4.7155
ATOMIC_POSITIONS crystal
Ni 0.0000 0.0000 0.5000
Ni 0.5000 0.0000 0.0000
Ni 0.0000 0.5000 0.0000
Hg 0.0000 0.0000 0.0000
C 0.5000 0.5000 0.5000

=====

# 4
! YBi3Se PBE relaxed; values from VASP
! **Energy relative to the elements, uncorrected**: 2.58 eV/f.u.
! **Offset from the most stable computed form**: 1.77 eV/f.u.
&SYSTEM
  ibrav = 0, nat = 5, ntyp = 3
/
ATOMIC_SPECIES
Bi 208.98 Bi.upf
Se 78.96 Se.upf
Y 88.91 Y.upf
CELL_PARAMETERS angstrom
5.8676 0.0000 0.0000
0.0000 5.8676 0.0000
0.0000 0.0000 5.8676
ATOMIC_POSITIONS crystal
Bi 0.0000 0.5000 0.0000
Bi 0.5000 0.0000 0.0000
Bi 0.0000 0.0000 0.5000
Se 0.5000 0.5000 0.5000
Y 0.0000 0.0000 0.0000

=====

# 5
! SrLiP2C PBE relaxed; values from VASP
! **E_form**: 5.68 eV per formula unit
&SYSTEM
  ibrav = 0, nat = 5, ntyp = 4
/
ATOMIC_SPECIES
C 12.01 C.upf
Sr 87.62 Sr.upf
P 30.97 P.upf
Li 6.94 Li.upf
CELL_PARAMETERS angstrom
4.2349 0.0000 0.0000
0.0000 5.5548 0.0000
0.0000 0.0000 4.2349
ATOMIC_POSITIONS crystal
C 0.5000 0.5000 0.5000
Sr 0.0000 0.5000 0.0000
P 0.0000 0.0000 0.5000
P 0.5000 0.0000 0.0000
Li 0.0000 0.0000 0.0000

=====

# 6
! NaLiMnBr6 PBE relaxed; values from VASP
! **Energy relative to the elements, uncorrected**: -8.11 eV/f.u.
&SYSTEM
  ibrav = 0, nat = 9, ntyp = 4
/
ATOMIC_SPECIES
Br 79.90 Br.upf
Li 6.94 Li.upf
Mn 54.94 Mn.upf
Na 22.99 Na.upf
CELL_PARAMETERS angstrom
-0.3912 -4.2830 -4.4111
4.3424 -4.0281 3.5261
-6.7918 -0.4846 1.0729
ATOMIC_POSITIONS crystal
Br 0.2651 0.2882 0.2949
Br 0.2651 0.7051 0.9933
Br 0.7349 0.0067 0.2949
Br 0.2651 0.0067 0.7118
Br 0.7349 0.7051 0.7118
Br 0.7349 0.2882 0.9933
Li 0.0000 0.3333 0.6667
Mn 0.5000 0.0000 0.0000
Na 0.5000 0.6667 0.3333

=====

# 7
! SrTcW2 PBE relaxed; values from VASP
! **E_form**: 3.28 eV per formula unit
! **Offset from the most stable computed form**: 0.57 eV/f.u.
&SYSTEM
  ibrav = 0, nat = 4, ntyp = 3
/
ATOMIC_SPECIES
W 183.84 W.upf
Sr 87.62 Sr.upf
Tc 98.00 Tc.upf
CELL_PARAMETERS angstrom
2.8321 0.0013 0.0000
-0.9336 2.6737 0.0000
0.0000 0.0000 9.8641
ATOMIC_POSITIONS crystal
W 0.0000 0.0000 0.9605
W 0.0000 0.0000 0.5395
Sr 0.5000 0.5000 0.2500
Tc 0.5000 0.5000 0.7500

=====

# 8
! Tl2Cd3Sn5 PBE relaxed; values from VASP
! **E_form**: 0.48 eV per formula unit
&SYSTEM
  ibrav = 0, nat = 20, ntyp = 3
/
ATOMIC_SPECIES
Sn 118.71 Sn.upf
Tl 204.38 Tl.upf
Cd 112.41 Cd.upf
CELL_PARAMETERS angstrom
6.8891 0.0000 0.0000
3.4445 9.3022 -0.5022
3.4445 0.9386 9.2684
ATOMIC_POSITIONS crystal
Sn 0.0019 0.2481 0.2481
Sn 0.4981 0.7519 0.7519
Sn 0.2500 0.5000 0.5000
Sn 0.7500 0.5000 0.5000
Sn 0.8789 0.9804 0.2618
Sn 0.9981 0.7519 0.7519
Sn 0.6211 0.7382 0.0196
Sn 0.1211 0.0196 0.7382
Sn 0.5019 0.2481 0.2481
Sn 0.3789 0.2618 0.9804
Tl 0.3757 0.8696 0.3790
Tl 0.8757 0.3790 0.8696
Tl 0.1243 0.6210 0.1304
Tl 0.6243 0.1304 0.6210
Cd 0.7500 0.0000 0.0000
Cd 0.3730 0.4869 0.7671
Cd 0.8730 0.7671 0.4869
Cd 0.6270 0.5131 0.2329
Cd 0.2500 0.0000 0.0000
Cd 0.1270 0.2329 0.5131

=====

# 9
! DyHoI3 PBE relaxed; values from VASP
! **Energy relative to the elements, uncorrected**: -5.48 eV/f.u.
&SYSTEM
  ibrav = 0, nat = 10, ntyp = 3
/
ATOMIC_SPECIES
Dy 162.50 Dy.upf
I 126.90 I.upf
Ho 164.93 Ho.upf
CELL_PARAMETERS angstrom
-1.1073 3.3936 -1.9453
-8.3971 2.8916 5.5765
1.0110 8.0634 9.2436
ATOMIC_POSITIONS crystal
Dy 0.0736 0.0941 0.7586
Dy 0.9264 0.9059 0.2414
I 0.0743 0.6100 0.2415
I 0.8110 0.2444 0.1337
I 0.1890 0.7556 0.8663
I 0.3630 0.8196 0.4544
I 0.9257 0.3900 0.7585
I 0.6370 0.1804 0.5456
Ho 0.4278 0.1744 0.9700
Ho 0.5722 0.8256 0.0300

=====

# 10
! SmPuAgPb PBE relaxed; values from VASP
! **E_form**: -0.82 eV per formula unit
&SYSTEM
  ibrav = 0, nat = 4, ntyp = 4
/
ATOMIC_SPECIES
Pb 207.20 Pb.upf
Pu 244.00 Pu.upf
Sm 150.36 Sm.upf
Ag 107.87 Ag.upf
CELL_PARAMETERS angstrom
-0.6015 5.3364 -0.1628
-4.9238 2.1500 0.0100
-1.7709 2.6372 4.3330
ATOMIC_POSITIONS crystal
Pb 0.7500 0.7500 0.7500
Pu 0.5000 0.5000 0.5000
Sm 0.0000 0.0000 0.0000
Ag 0.2500 0.2500 0.2500

=====

# 11
! NaCaHo2Te4 PBE relaxed; values from VASP
! **Energy relative to the elements, uncorrected**: -11.05 eV/f.u.
&SYSTEM
  ibrav = 0, nat = 8, ntyp = 4
/
ATOMIC_SPECIES
Ho 164.93 Ho.upf
Na 22.99 Na.upf
Te 127.60 Te.upf
Ca 40.08 Ca.upf
CELL_PARAMETERS angstrom
4.3809 0.0000 0.0000
0.0000 7.5898 0.1571
0.0000 -2.6679 7.3490
ATOMIC_POSITIONS crystal
Ho 0.0000 0.5000 0.5000
Ho 0.5000 0.0000 0.5000
Na 0.0000 0.0000 0.0000
Te 0.0000 0.7531 0.2585
Te 0.5000 0.7458 0.7389
Te 0.0000 0.2469 0.7415
Te 0.5000 0.2542 0.2611
Ca 0.5000 0.5000 0.0000

=====

# 12
! MgSe2Br PBE relaxed; values from VASP
! **Energy relative to the elements, uncorrected**: -1.84 eV/f.u.
! **Offset from the most stable computed form**: 0.80 eV/f.u.
&SYSTEM
  ibrav = 0, nat = 4, ntyp = 3
/
ATOMIC_SPECIES
Br 79.90 Br.upf
Se 78.96 Se.upf
Mg 24.30 Mg.upf
CELL_PARAMETERS angstrom
5.2942 0.0000 0.0000
0.0000 4.5576 0.0680
0.0000 1.2844 4.3761
ATOMIC_POSITIONS crystal
Br 0.0000 0.5779 0.5787
Se 0.5000 0.1089 0.1087
Se 0.0000 0.0681 0.0690
Mg 0.5000 0.7451 0.7436

=====

# 13
! K2PPd3 PBE relaxed; values from VASP
! **E_form**: -1.07 eV per formula unit
&SYSTEM
  ibrav = 0, nat = 12, ntyp = 3
/
ATOMIC_SPECIES
Pd 106.42 Pd.upf
K 39.10 K.upf
P 30.97 P.upf
CELL_PARAMETERS angstrom
-1.2678 1.8374 4.2109
-5.0443 -3.1345 -0.1510
5.4196 -8.8566 2.7991
ATOMIC_POSITIONS crystal
Pd 0.1259 0.2500 0.2519
Pd 0.5689 0.4998 0.1379
Pd 0.5689 0.0002 0.1379
Pd 0.4311 0.5002 0.8621
Pd 0.8741 0.7500 0.7481
Pd 0.4311 0.9998 0.8621
K 0.8064 0.2500 0.6129
K 0.0228 0.7500 0.0457
K 0.9772 0.2500 0.9543
K 0.1936 0.7500 0.3871
P 0.3496 0.7500 0.6991
P 0.6504 0.2500 0.3009

=====

# 14
! SrLa2VCo PBE relaxed; values from VASP
! **E_form**: 7.72 eV per formula unit
&SYSTEM
  ibrav = 0, nat = 5, ntyp = 4
/
ATOMIC_SPECIES
Co 58.93 Co.upf
Sr 87.62 Sr.upf
La 138.91 La.upf
V 50.94 V.upf
CELL_PARAMETERS angstrom
-1.6911 -4.1366 -3.7762
4.3155 -0.9682 -0.8719
-0.0110 -3.9421 4.3233
ATOMIC_POSITIONS crystal
Co 0.0000 0.5000 0.0000
Sr 0.0000 0.0000 0.0000
La 0.5000 0.0000 0.0000
La 0.0000 0.0000 0.5000
V 0.5000 0.5000 0.5000

=====

# 15
! SrLiSb2Pd4 PBE relaxed; values from VASP
! **Energy relative to the elements, uncorrected**: -5.26 eV/f.u.
&SYSTEM
  ibrav = 0, nat = 8, ntyp = 4
/
ATOMIC_SPECIES
Sr 87.62 Sr.upf
Pd 106.42 Pd.upf
Li 6.94 Li.upf
Sb 121.76 Sb.upf
CELL_PARAMETERS angstrom
-4.3962 1.1521 -0.0425
-2.9929 -2.3649 2.4709
-1.1006 5.0475 7.6776
ATOMIC_POSITIONS crystal
Sr 0.0000 0.0000 0.0000
Pd 0.4073 0.4073 0.7782
Pd 0.5927 0.5927 0.2218
Pd 0.8651 0.8651 0.4047
Pd 0.1349 0.1349 0.5953
Li 0.5000 0.5000 0.5000
Sb 0.7617 0.7617 0.7148
Sb 0.2383 0.2383 0.2852

=====

# 16
! Sc2Be2GaNi5 PBE relaxed; values from VASP
! **E_form**: -4.94 eV per formula unit
&SYSTEM
  ibrav = 0, nat = 20, ntyp = 4
/
ATOMIC_SPECIES
Ni 58.69 Ni.upf
Be 9.01 Be.upf
Sc 44.96 Sc.upf
Ga 69.72 Ga.upf
CELL_PARAMETERS angstrom
3.2469 0.0000 0.0000
0.0000 8.7356 0.0000
0.0000 0.0000 8.7356
ATOMIC_POSITIONS crystal
Ni 0.5000 0.5000 0.0000
Ni 0.5000 0.0663 0.7839
Ni 0.5000 0.7839 0.9337
Ni 0.5000 0.2161 0.0663
Ni 0.5000 0.7161 0.4337
Ni 0.5000 0.9337 0.2161
Ni 0.5000 0.5663 0.7161
Ni 0.5000 0.2839 0.5663
Ni 0.5000 0.4337 0.2839
Ni 0.5000 0.0000 0.5000
Be 0.0000 0.6155 0.8845
Be 0.0000 0.8845 0.3845
Be 0.0000 0.3845 0.1155
Be 0.0000 0.1155 0.6155
Sc 0.0000 0.6791 0.1791
Sc 0.0000 0.8209 0.6791
Sc 0.0000 0.3209 0.8209
Sc 0.0000 0.1791 0.3209
Ga 0.0000 0.0000 0.0000
Ga 0.0000 0.5000 0.5000

=====

# 17
! LiAc4Mg5 PBE relaxed; values from VASP
! **E_form**: -0.44 eV per formula unit
&SYSTEM
  ibrav = 0, nat = 10, ntyp = 3
/
ATOMIC_SPECIES
Ac 227.00 Ac.upf
Mg 24.30 Mg.upf
Li 6.94 Li.upf
CELL_PARAMETERS angstrom
-3.4798 -1.2151 -1.6546
1.7863 -3.3971 -1.2619
-5.0207 -9.0239 17.1860
ATOMIC_POSITIONS crystal
Ac 0.0000 0.0000 0.3954
Ac 0.0000 0.0000 0.1889
Ac 0.0000 0.0000 0.6046
Ac 0.0000 0.0000 0.8111
Mg 0.5000 0.5000 0.7079
Mg 0.5000 0.5000 0.5000
Mg 0.5000 0.5000 0.2921
Mg 0.5000 0.5000 0.0784
Mg 0.5000 0.5000 0.9216
Li 0.0000 0.0000 0.0000

=====

# 18
! Sm2DyEr7 PBE relaxed; values from VASP
! **E_form**: 1.61 eV per formula unit
! **Offset from the most stable computed form**: 1.36 eV/f.u.
&SYSTEM
  ibrav = 0, nat = 10, ntyp = 3
/
ATOMIC_SPECIES
Er 167.26 Er.upf
Sm 150.36 Sm.upf
Dy 162.50 Dy.upf
CELL_PARAMETERS angstrom
-0.8408 -2.3452 -2.4578
0.5815 -10.6894 10.0007
-6.6068 10.5144 -7.7726
ATOMIC_POSITIONS crystal
Er 0.5000 0.6553 0.8516
Er 0.5000 0.3447 0.1484
Er 0.0000 0.1846 0.8154
Er 0.5000 0.1484 0.3447
Er 0.0000 0.8154 0.1846
Er 0.5000 0.8516 0.6553
Er 0.5000 0.5000 0.5000
Sm 0.5000 0.2914 0.7086
Sm 0.5000 0.7086 0.2914
Dy 0.0000 0.0000 0.0000

=====

# 19
! LiInAs2 PBE relaxed; values from VASP
! **E_form**: -0.29 eV per formula unit
&SYSTEM
  ibrav = 0, nat = 4, ntyp = 3
/
ATOMIC_SPECIES
As 74.92 As.upf
Li 6.94 Li.upf
In 114.82 In.upf
CELL_PARAMETERS angstrom
3.2155 -0.0048 0.0000
0.0036 3.2155 0.0000
0.0000 0.0000 7.7784
ATOMIC_POSITIONS crystal
As 0.0000 0.0000 0.9330
As 0.0000 0.0000 0.5670
Li 0.5000 0.5000 0.7500
In 0.5000 0.5000 0.2500

=====

# 20
! Ac3Cd9Au2 PBE relaxed; values from VASP
! **E_form**: -4.81 eV per formula unit
&SYSTEM
  ibrav = 0, nat = 14, ntyp = 3
/
ATOMIC_SPECIES
Ac 227.00 Ac.upf
Cd 112.41 Cd.upf
Au 196.97 Au.upf
CELL_PARAMETERS angstrom
4.7989 0.0000 1.2890
1.7793 8.4766 2.9536
0.1173 0.4073 9.1412
ATOMIC_POSITIONS crystal
Ac 0.0000 0.0000 0.0000
Ac 0.6900 0.3100 0.3100
Ac 0.3100 0.6900 0.6900
Cd 0.1311 0.5879 0.1499
Cd 0.3354 0.3035 0.0258
Cd 0.3354 0.0258 0.3035
Cd 0.1311 0.1499 0.5879
Cd 0.6646 0.9742 0.6965
Cd 0.8689 0.4121 0.8501
Cd 0.0000 0.5000 0.5000
Cd 0.8689 0.8501 0.4121
Cd 0.6646 0.6965 0.9742
Au 0.5000 0.6994 0.3006
Au 0.5000 0.3006 0.6994

=====

# 21
! Tb8NdY5 PBE relaxed; values from VASP
! **E_form**: 3.52 eV per formula unit
&SYSTEM
  ibrav = 0, nat = 14, ntyp = 3
/
ATOMIC_SPECIES
Tb 158.93 Tb.upf
Y 88.91 Y.upf
Nd 144.24 Nd.upf
CELL_PARAMETERS angstrom
-8.3268 1.3780 0.8553
1.5538 -7.2116 -4.1885
3.0560 -0.2664 7.9092
ATOMIC_POSITIONS crystal
Tb 0.5739 0.9158 0.8371
Tb 0.3420 0.2632 0.4261
Tb 0.6728 0.3954 0.9279
Tb 0.9213 0.0842 0.6580
Tb 0.5325 0.6046 0.2774
Tb 0.7226 0.2551 0.3272
Tb 0.0721 0.7449 0.4675
Tb 0.1629 0.7368 0.0787
Y 0.0412 0.3224 0.1351
Y 0.8649 0.9061 0.1873
Y 0.5000 0.0000 0.5000
Y 0.2812 0.0939 0.9588
Y 0.8127 0.6776 0.7188
Nd 0.2500 0.5000 0.7500

=====

# 22
! KSrIr PBE relaxed; values from VASP
! **E_form**: 1.64 eV per formula unit
&SYSTEM
  ibrav = 0, nat = 3, ntyp = 3
/
ATOMIC_SPECIES
Sr 87.62 Sr.upf
K 39.10 K.upf
Ir 192.22 Ir.upf
CELL_PARAMETERS angstrom
-1.6000 4.8362 -0.1271
-3.2024 -3.7756 -1.2061
-1.0117 -0.2440 3.4502
ATOMIC_POSITIONS crystal
Sr 0.3333 0.6667 0.6905
K 0.6667 0.3333 0.3126
Ir 0.0000 0.0000 0.9969

=====

# 23
! Te2PtI PBE relaxed; values from VASP
! **Energy relative to the elements, uncorrected**: 0.25 eV/f.u.
&SYSTEM
  ibrav = 0, nat = 8, ntyp = 3
/
ATOMIC_SPECIES
Te 127.60 Te.upf
Pt 195.08 Pt.upf
I 126.90 I.upf
CELL_PARAMETERS angstrom
-2.7839 -1.3596 -6.8833
6.2675 -3.8104 -1.7822
-0.2590 -6.6280 -2.7250
ATOMIC_POSITIONS crystal
Te 0.8750 0.9539 0.7500
Te 0.3750 0.2961 0.7500
Te 0.7039 0.1250 0.2500
Te 0.0461 0.6250 0.2500
Pt 0.0000 0.0000 0.0000
Pt 0.7500 0.2500 0.5000
I 0.5000 0.5000 0.0000
I 0.2500 0.7500 0.5000

=====

| no. | spin magnetization (μB per cell) | total energy (eV/cell) |
| --- | --- | --- |
| 1 | 1.81 | -115.4 |
| 2 | 0.19 | -29.5 |
| 3 | 0.81 | -13.6 |
| 4 | 1.42 | -19.0 |
| 5 | 1.84 | -18.0 |
| 6 | 2.98 | -30.6 |
| 7 | 0.00 | -34.7 |
| 8 | 0.00 | -54.0 |
| 9 | 0.00 | -38.6 |
| 10 | 6.22 | -26.4 |
| 11 | 0.00 | -36.1 |
| 12 | 0.00 | -12.1 |
| 13 | 0.00 | -48.5 |
| 14 | 3.13 | -20.0 |
| 15 | 0.00 | -37.9 |
| 16 | 0.00 | -114.0 |
| 17 | 0.00 | -26.8 |
| 18 | 0.00 | -44.4 |
| 19 | 0.00 | -14.2 |
| 20 | 0.00 | -31.9 |
| 21 | 0.00 | -70.6 |
| 22 | 0.00 | -10.0 |
| 23 | 0.00 | -27.3 |